DFT (PBE-GGA) results for crystalline La14TmAl at its relaxed geometry.

Summary:
Magnetic moment in Bohr magnetons per cell: 0.0
Density of states at the Fermi level in states/eV/f.u.: 21.3
Symmetry: P4/mmm
V in Å³ per cell: 551
Crystal system: tetragonal
ΔH_f (0 K) in eV per atom: -0.027
E_tot in eV/atom: -4.85

a = 7.291 Å, b = 7.291 Å, c = 10.363 Å
α = 90.00°, β = 90.00°, γ = 90.00°
Atoms (fractional coordinates):
La (0.375, 0.125, 0.500)
La (0.875, 0.625, 0.500)
La (0.134, 0.384, 0.241)
La (0.375, 0.126, 0.000)
La (0.375, 0.625, 0.500)
La (0.134, 0.384, 0.759)
La (0.616, 0.384, 0.759)
La (0.134, 0.866, 0.240)
La (0.874, 0.625, 0.000)
La (0.616, 0.866, 0.241)
La (0.134, 0.866, 0.760)
La (0.616, 0.866, 0.759)
La (0.875, 0.125, 0.500)
La (0.616, 0.384, 0.241)
Tm (0.875, 0.125, 0.000)
Al (0.375, 0.625, 0.000)


DFT (PBE-GGA) results for crystalline BeMo3Rh at its relaxed geometry.

Summary:
Magnetic moment in Bohr magnetons per cell: 0.0
Density of states at the Fermi level in states/eV/f.u.: 4.1
Energy above the most stable polymorph in this dataset in meV/atom: 0
Symmetry: Pm-3m
V in Å³ per cell: 74
Crystal system: cubic
ΔH_f (0 K) in eV per atom: 0.620
E_tot in eV/atom: -8.09

a = 4.192 Å, b = 4.192 Å, c = 4.192 Å
α = 90.00°, β = 90.00°, γ = 90.00°
Atoms (fractional coordinates):
Be (0.000, 0.000, 0.000)
Mo (0.000, 0.000, 0.500)
Mo (0.500, 0.000, 0.000)
Mo (0.000, 0.500, 0.000)
Rh (0.500, 0.500, 0.500)


DFT (PBE-GGA) results for crystalline K2Na3Hg at its relaxed geometry.

Summary:
Magnetic moment in Bohr magnetons per cell: 0.0
Density of states at the Fermi level in states/eV/f.u.: 3.2
Energy above the most stable polymorph in this dataset in meV/atom: 82
Symmetry: Immm
V in Å³ per cell: 278
Crystal system: orthorhombic
ΔH_f (0 K) in eV per atom: -0.001
E_tot in eV/atom: -1.08

a = 5.293 Å, b = 6.616 Å, c = 9.000 Å
α = 111.57°, β = 107.10°, γ = 90.00°
Atoms (fractional coordinates):
K (0.713, 0.213, 0.426)
K (0.287, 0.787, 0.574)
Hg (0.000, 0.500, 0.000)
Na (0.600, 0.600, 0.200)
Na (0.000, 0.000, 0.000)
Na (0.400, 0.400, 0.800)